# 1
Material: MnP2AuCl
Method: DFT, PBE
State: optimized geometry

Cell and atoms, written as POSCAR:
```
MnP2AuCl
1.0
4.325 0.000 0.000
0.000 4.325 0.000
0.000 0.000 4.894
P Mn Au Cl
2 1 1 1
Cartesian
0.000 2.162 0.000
2.162 0.000 0.000
0.000 0.000 0.000
2.162 2.162 2.447
0.000 0.000 2.447
```

For the polymorph energy (0 for the lowest one), the calculation gives 88 meV/atom. For the final energy, the calculation gives -4.580 eV/atom. For the energy relative to the elements, uncorrected, the calculation gives 442 meV/atom. The magnetization is 0.44 μB per cell.


# 2
Material: MnNbBr6
Method: DFT, PBE
State: optimized geometry

Cell and atoms, written as POSCAR:
```
MnNbBr6
1.0
-0.307 1.067 -6.573
1.125 -5.013 -4.247
-5.569 -2.671 -3.554
Mn Nb Br
1 1 6
Cartesian
-2.376 -3.309 -7.187
0.000 0.000 0.000
-3.769 -3.912 -4.966
-4.320 -1.658 -8.041
-1.292 -1.234 -5.860
-0.431 -4.960 -6.332
-0.982 -2.706 -9.408
-3.460 -5.383 -8.513
```

For the polymorph energy (0 for the lowest one), the calculation gives 34 meV/atom. For the final energy, the calculation gives -4.391 eV/atom. For the energy relative to the elements, uncorrected, the calculation gives -731 meV/atom. The magnetization is 6.01 μB per cell.


# 3
Material: CeTl3Te4
Method: DFT, PBE
State: optimized geometry

Cell and atoms, written as POSCAR:
```
CeTl3Te4
1.0
-3.914 6.730 -0.427
-1.910 -4.423 -6.760
-7.258 -3.928 4.621
Tl Te Ce
6 8 2
Cartesian
-5.704 3.549 1.442
-5.468 -0.747 2.751
-8.386 0.403 -0.839
-4.806 2.340 -3.117
-4.696 -2.024 -1.728
-8.276 -3.961 0.551
-8.941 3.063 0.974
-8.846 -1.143 2.433
-4.934 0.807 -0.118
-5.089 5.313 -1.418
-7.993 -6.934 -1.149
-8.148 -2.428 -2.449
-4.236 -0.478 -5.000
-4.141 -4.684 -3.540
-9.274 1.618 3.715
-1.898 1.185 0.479
```

For the final energy, the calculation gives -3.809 eV/atom. For the energy relative to the elements, uncorrected, the calculation gives -609 meV/atom. The magnetization is 0.00 μB per cell.


# 4
Material: Nd5TmSb5
Method: DFT, PBE
State: optimized geometry

Cell and atoms, written as POSCAR:
```
Nd5TmSb5
1.0
6.311 0.000 0.000
-3.155 7.039 -0.090
0.000 -2.742 8.460
Nd Tm Sb
5 1 5
Cartesian
3.155 1.503 2.781
3.155 0.035 7.001
0.000 -1.371 4.230
0.000 4.262 1.369
0.000 2.794 5.589
0.000 0.000 0.000
3.155 4.279 1.316
3.155 2.893 5.621
3.155 0.000 0.000
0.000 1.404 2.749
0.000 0.018 7.054
```

For the final energy, the calculation gives -5.424 eV/atom. For the energy relative to the elements, uncorrected, the calculation gives -976 meV/atom. The magnetization is 0.00 μB per cell.